(1)
Compound: ZnCuS6
Source: the Alexandria database
Functional: PBE
Structure: optimized geometry

Values from the calculation:
N(E_F) ... 3.620 states/eV per cell
Space-group type ... P-1

extended XYZ file:
```
8
Lattice="3.974 0.000 0.000 -1.054 5.512 0.000 -1.691 -2.036 7.721" Properties=species:S:1:pos:R:3 pbc="T T T"
Zn 0.000 0.000 0.000
Cu -0.845 -1.018 3.861
S -0.355 3.032 2.963
S -1.173 3.474 6.008
S 0.368 3.673 1.193
S 0.861 -0.197 6.528
S 2.402 0.002 1.713
S 1.584 0.444 4.759
```

***

(2)
Compound: ZnCuS3
Source: the Alexandria database
Functional: PBE
Structure: optimized geometry

Values from the calculation:
N(E_F) ... 4.407 states/eV per cell
Space-group type ... Pm-3m

extended XYZ file:
```
5
Lattice="4.515 0.000 0.000 0.000 4.515 0.000 0.000 0.000 4.515" Properties=species:S:1:pos:R:3 pbc="T T T"
Zn 0.000 0.000 0.000
Cu 2.257 2.257 2.257
S 0.000 2.257 2.257
S 2.257 0.000 2.257
S 2.257 2.257 0.000
```

***

(3)
Compound: ZnCu2S
Source: the Alexandria database
Functional: PBE
Structure: optimized geometry

Values from the calculation:
N(E_F) ... 0.106 states/eV per cell
Space-group type ... Fm-3m

extended XYZ file:
```
4
Lattice="0.000 3.046 3.046 3.046 0.000 3.046 3.046 3.046 0.000" Properties=species:S:1:pos:R:3 pbc="T T T"
Zn 0.000 0.000 0.000
Cu 1.523 1.523 1.523
Cu 4.569 4.569 4.569
S 3.046 3.046 3.046
```

***

(4)
Compound: ZnCu2S
Source: the Alexandria database
Functional: PBE
Structure: optimized geometry

Values from the calculation:
N(E_F) ... 0.000 states/eV per cell
Space-group type ... I-42d

extended XYZ file:
```
8
Lattice="-2.554 2.554 6.113 2.554 -2.554 6.113 2.554 2.554 -6.113" Properties=species:S:1:pos:R:3 pbc="T T T"
Zn 0.000 0.000 0.000
Zn 0.000 2.554 3.057
Cu 1.277 -0.895 4.585
Cu 1.659 1.277 1.528
Cu 1.277 3.448 -1.528
Cu 0.895 1.277 7.642
S 2.554 0.000 3.057
S 0.000 0.000 6.113
```

***

(5)
Compound: ZrZnCu2S4
Source: the Alexandria database
Functional: PBE
Structure: optimized geometry

Values from the calculation:
Space-group type ... I-42m

extended XYZ file:
```
8
Lattice="-2.755 2.755 5.353 2.755 -2.755 5.353 2.755 2.755 -5.353" Properties=species:S:1:pos:R:3 pbc="T T T"
Zr 0.000 0.000 0.000
Zn 0.000 0.000 5.353
Cu 2.755 0.000 2.677
Cu 0.000 2.755 2.677
S 1.339 -1.339 3.940
S 1.416 1.416 1.413
S -1.339 1.339 3.940
S 1.339 1.339 6.766
```

***

(6)
Compound: Zr3CuS
Source: the Alexandria database
Functional: PBE
Structure: optimized geometry

Values from the calculation:
N(E_F) ... 4.373 states/eV per cell
Space-group type ... Pm-3m

extended XYZ file:
```
5
Lattice="4.786 0.000 0.000 0.000 4.786 0.000 0.000 0.000 4.786" Properties=species:S:1:pos:R:3 pbc="T T T"
Zr 0.000 0.000 2.393
Zr 0.000 2.393 0.000
Zr 2.393 0.000 0.000
Cu 2.393 2.393 2.393
S 0.000 0.000 0.000
```

***

(7)
Compound: ZrCuS2
Source: the Alexandria database
Functional: PBE
Structure: optimized geometry

Values from the calculation:
N(E_F) ... 2.446 states/eV per cell
Space-group type ... P2_1/m

extended XYZ file:
```
8
Lattice="6.262 0.000 0.000 0.000 3.612 0.000 -1.979 0.000 6.632" Properties=species:S:1:pos:R:3 pbc="T T T"
Zr 0.501 0.903 3.272
Zr 3.782 2.709 3.361
Cu 0.396 0.903 6.134
Cu 3.887 2.709 0.498
S -0.456 2.709 1.706
S 1.622 2.709 4.890
S 2.661 0.903 1.742
S 4.739 0.903 4.926
```

***

(8)
Compound: ZrCuS2
Source: the Alexandria database
Functional: PBE
Structure: optimized geometry

Values from the calculation:
N(E_F) ... 5.786 states/eV per cell
Space-group type ... Fm-3m

extended XYZ file:
```
4
Lattice="0.000 3.179 3.179 3.179 0.000 3.179 3.179 3.179 0.000" Properties=species:S:1:pos:R:3 pbc="T T T"
Zr 0.000 0.000 0.000
Cu 3.179 3.179 3.179
S 1.590 1.590 1.590
S 4.769 4.769 4.769
```

***

(9)
Compound: Zr3CuS
Source: the Alexandria database
Functional: PBE
Structure: optimized geometry

Values from the calculation:
N(E_F) ... 16.102 states/eV per cell
Space-group type ... Pnma

extended XYZ file:
```
20
Lattice="7.188 0.000 0.000 0.000 3.773 0.000 0.000 0.000 14.072" Properties=species:S:1:pos:R:3 pbc="T T T"
Zr 0.051 0.943 1.375
Zr 0.974 0.943 7.812
Zr 1.288 2.829 3.788
Zr 2.306 0.943 10.824
Zr 2.620 2.829 0.776
Zr 3.543 2.829 8.410
Zr 3.645 0.943 5.661
Zr 4.568 0.943 13.296
Zr 4.882 2.829 3.247
Zr 5.901 0.943 10.283
Zr 6.214 2.829 6.260
Zr 7.137 2.829 12.697
Cu 0.711 2.829 9.833
Cu 2.883 0.943 2.797
Cu 4.305 2.829 11.275
Cu 6.477 0.943 4.239
S 1.691 0.943 13.328
S 1.903 2.829 6.292
S 5.285 0.943 7.780
S 5.497 2.829 0.744
```

***

(10)
Compound: ZrCuS2
Source: the Alexandria database
Functional: PBE
Structure: optimized geometry

Values from the calculation:
N(E_F) ... 4.370 states/eV per cell
Space-group type ... I-42d

extended XYZ file:
```
8
Lattice="-2.816 2.816 5.339 2.816 -2.816 5.339 2.816 2.816 -5.339" Properties=species:S:1:pos:R:3 pbc="T T T"
Zr 0.000 0.000 0.000
Zr 0.000 2.816 2.669
Cu 2.816 0.000 2.669
Cu 0.000 0.000 5.339
S 1.408 -1.253 4.004
S 1.563 1.408 1.335
S 1.408 4.069 -1.335
S 1.253 1.408 6.673
```

***

(11)
Compound: ZrCu2S4
Source: the Alexandria database
Functional: PBE
Structure: optimized geometry

Values from the calculation:
N(E_F) ... 7.371 states/eV per cell
Space-group type ... Cmcm

extended XYZ file:
```
14
Lattice="1.780 -6.112 0.000 1.780 6.112 0.000 0.000 0.000 11.136" Properties=species:S:1:pos:R:3 pbc="T T T"
Zr 1.780 4.830 8.352
Zr 1.780 -4.830 2.784
Cu 1.780 1.533 6.295
Cu 1.780 1.533 10.408
Cu 1.780 -1.533 0.727
Cu 1.780 -1.533 4.840
S 0.000 0.000 0.000
S 0.000 0.000 5.568
S 1.780 2.523 1.300
S 1.780 2.523 4.267
S 1.780 0.640 8.352
S 1.780 -0.640 2.784
S 1.780 -2.523 6.868
S 1.780 -2.523 9.835
```

***

(12)
Compound: Zr2CuS4
Source: the Alexandria database
Functional: PBE
Structure: optimized geometry

Values from the calculation:
N(E_F) ... 5.849 states/eV per cell
Space-group type ... Fd-3m

extended XYZ file:
```
14
Lattice="0.000 5.226 5.226 5.226 0.000 5.226 5.226 5.226 0.000" Properties=species:S:1:pos:R:3 pbc="T T T"
Zr 0.000 0.000 0.000
Zr 2.613 2.613 0.000
Zr 2.613 0.000 2.613
Zr 0.000 2.613 2.613
Cu 3.919 3.919 3.919
Cu 6.532 6.532 6.532
S 7.854 5.211 5.211
S 2.598 2.598 2.598
S 5.241 5.241 2.598
S 5.241 2.598 5.241
S 5.211 7.854 5.211
S 5.211 5.211 7.854
S 7.854 7.854 7.854
S 2.598 5.241 5.241
```

***

no.,mass density (g/cm³),E_form (uncorrected) (eV/atom)
1,3.2,0.012
2,4.1,0.583
3,6.6,0.194
4,4.7,0.078
5,4.2,-0.781
6,5.6,-0.229
7,4.8,-1.036
8,5.7,-0.604
9,6.4,-0.665
10,4.3,-0.797
11,4.8,-0.653
12,4.4,-1.312